Compound: Ba2Ac3Hg2
Source: the Alexandria database
Functional: PBE-GGA
Structure: relaxed

a b c (Å): 4.1205 35.1751 4.0875
angles (deg): 90.00 90.00 90.00
Space group Cmmm (No. 65)
Inequivalent atoms, fractional coordinates:
Ba: 0.0000 0.1924 0.0000
Ac: 0.0000 0.0779 0.0000
Ac: 0.0000 0.5000 0.5000
Hg: 0.0000 0.3678 0.5000

Summary:
- energy of formation (eV/f.u.) = -1.92
- mass density (kg/m³) = 7606

---

Compound: BaAc5Hg4
Source: the Alexandria database
Functional: PBE-GGA
Structure: relaxed

a b c (Å): 4.0661 4.0661 22.3761
angles (deg): 90.00 90.00 90.00
Space group P4/mmm (No. 123)
Inequivalent atoms, fractional coordinates:
Ba: 0.0000 0.0000 0.0000
Ac: 0.5000 0.5000 0.1428
Ac: 0.5000 0.5000 0.3202
Ac: 0.5000 0.5000 0.5000
Hg: 0.0000 0.0000 0.2289
Hg: 0.0000 0.0000 0.4099

Summary:
- energy of formation (eV/f.u.) = -3.51
- mass density (kg/m³) = 9312

---

Compound: BaAc2Hg
Source: the Alexandria database
Functional: PBE-GGA
Structure: relaxed

a b c (Å): 4.0572 4.0572 38.2030
angles (deg): 90.00 90.00 120.00
Space group R-3m (No. 166, hexagonal axes)
Inequivalent atoms, fractional coordinates:
Ba: 0.0000 0.0000 0.0000
Ac: 0.0000 0.0000 0.1033
Hg: 0.0000 0.0000 0.5000

Summary:
- energy of formation (eV/f.u.) = -0.01
- polymorph energy (0 for the lowest one) (meV per atom) = 180.6
- mass density (kg/m³) = 7244

---

Compound: Ba3Ac2Hg3
Source: the Alexandria database
Functional: PBE-GGA
Structure: relaxed

a b c (Å): 4.1695 6.1282 25.0836
angles (deg): 90.00 90.00 90.00
Space group Immm (No. 71)
Inequivalent atoms, fractional coordinates:
Ba: 0.0000 0.0000 0.0000
Ba: 0.0000 0.5000 0.1170
Ac: 0.0000 0.0000 0.2283
Hg: 0.0000 0.0000 0.5000
Hg: 0.0000 0.5000 0.3779

Summary:
- energy of formation (eV/f.u.) = -2.94
- mass density (kg/m³) = 7605